--- P ---
Compound: Ac3MgTl4
Source: the Alexandria database
Functional: PBE-GGA
Structure: relaxed

Fermi-level density of states   6.71 states/eV/cell
Size of the total moment   0.0 μB/f.u.

Unit cell a=3.871 b=3.871 c=17.167 alpha=90.00 beta=90.00 gamma=90.00
Element x y z (fractional)
Tl 0.000 0.000 0.636
Mg 0.500 0.500 0.000
Ac 0.500 0.500 0.500
Ac 0.500 0.500 0.769
Tl 0.000 0.000 0.364
Tl 0.000 0.000 0.903
Ac 0.500 0.500 0.231
Tl 0.000 0.000 0.097

--- Q ---
Compound: Ac3MgTl4
Source: the Alexandria database
Functional: PBE-GGA
Structure: relaxed

Fermi-level density of states   7.94 states/eV/cell
Size of the total moment   0.0 μB/f.u.

Unit cell a=3.958 b=7.366 c=10.556 alpha=110.42 beta=100.81 gamma=90.00
Element x y z (fractional)
Tl 0.619 0.379 0.238
Ac 0.000 0.500 0.000
Mg 0.500 0.000 0.000
Tl 0.381 0.621 0.762
Tl 0.619 0.859 0.238
Ac 0.771 0.771 0.543
Ac 0.229 0.229 0.457
Tl 0.381 0.141 0.762

Stability, descending: P, Q

--- P ---
Compound: Ac4MgTl2
Source: the Alexandria database
Functional: PBE-GGA
Structure: relaxed

Fermi-level density of states   16.10 states/eV/cell
Size of the total moment   0.0 μB/f.u.

Unit cell a=8.084 b=7.415 c=10.173 alpha=90.00 beta=119.16 gamma=90.00
Element x y z (fractional)
Ac 0.469 0.995 0.779
Ac 0.983 0.750 0.484
Tl 0.606 0.750 0.548
Tl 0.394 0.250 0.452
Ac 0.531 0.495 0.221
Mg 0.786 0.250 0.719
Tl 0.799 0.750 0.093
Mg 0.214 0.750 0.281
Ac 0.033 0.750 0.879
Ac 0.017 0.250 0.516
Ac 0.469 0.505 0.779
Ac 0.531 0.005 0.221
Tl 0.201 0.250 0.907
Ac 0.967 0.250 0.121

--- Q ---
Compound: Ac4MgTl2
Source: the Alexandria database
Functional: PBE-GGA
Structure: relaxed

Fermi-level density of states   7.17 states/eV/cell
Size of the total moment   0.0 μB/f.u.

Unit cell a=5.768 b=5.768 c=9.798 alpha=72.88 beta=72.88 gamma=60.00
Element x y z (fractional)
Ac 0.382 0.382 0.854
Tl 0.255 0.255 0.235
Tl 0.745 0.745 0.765
Ac 0.618 0.618 0.146
Ac 0.870 0.870 0.389
Ac 0.130 0.130 0.611
Mg 0.000 0.000 0.000

Stability, descending: Q, P

--- P ---
Compound: AcMg4Tl
Source: the Alexandria database
Functional: PBE-GGA
Structure: relaxed

Fermi-level density of states   4.11 states/eV/cell
Size of the total moment   0.0 μB/f.u.

Unit cell a=4.754 b=8.163 c=8.595 alpha=90.00 beta=90.00 gamma=90.00
Element x y z (fractional)
Mg 0.500 0.048 0.250
Tl 0.000 0.773 0.250
Mg 0.000 0.000 0.000
Tl 0.000 0.227 0.750
Ac 0.000 0.631 0.750
Mg 0.500 0.692 0.448
Ac 0.000 0.369 0.250
Mg 0.500 0.308 0.948
Mg 0.500 0.308 0.552
Mg 0.500 0.952 0.750
Mg 0.500 0.692 0.052
Mg 0.000 0.000 0.500

--- Q ---
Compound: AcMg4Tl
Source: the Alexandria database
Functional: PBE-GGA
Structure: relaxed

Fermi-level density of states   2.57 states/eV/cell
Size of the total moment   0.0 μB/f.u.

Unit cell a=6.211 b=6.211 c=6.211 alpha=60.00 beta=60.00 gamma=60.00
Element x y z (fractional)
Mg 0.625 0.625 0.125
Mg 0.625 0.625 0.625
Ac 0.250 0.250 0.250
Mg 0.125 0.625 0.625
Mg 0.625 0.125 0.625
Tl 0.000 0.000 0.000

Stability, descending: P, Q

--- P ---
Compound: Ac3Mg3Tl2
Source: the Alexandria database
Functional: PBE-GGA
Structure: relaxed

Fermi-level density of states   16.08 states/eV/cell
Size of the total moment   0.0 μB/f.u.

Unit cell a=5.104 b=6.554 c=16.913 alpha=90.00 beta=90.00 gamma=112.92
Element x y z (fractional)
Mg 0.622 0.245 0.033
Mg 0.378 0.755 0.967
Ac 0.625 0.250 0.250
Ac 0.909 0.818 0.110
Ac 0.091 0.182 0.610
Mg 0.378 0.755 0.533
Tl 0.799 0.599 0.605
Ac 0.091 0.182 0.890
Tl 0.799 0.599 0.895
Tl 0.201 0.401 0.105
Tl 0.201 0.401 0.395
Mg 0.335 0.669 0.250
Ac 0.909 0.818 0.390
Mg 0.622 0.245 0.467
Ac 0.375 0.750 0.750
Mg 0.665 0.331 0.750

--- Q ---
Compound: Ac3Mg3Tl2
Source: the Alexandria database
Functional: PBE-GGA
Structure: relaxed

Fermi-level density of states   32.87 states/eV/cell
Size of the total moment   0.0 μB/f.u.

Unit cell a=6.573 b=9.295 c=17.168 alpha=90.00 beta=90.00 gamma=90.00
Element x y z (fractional)
Tl 0.872 0.105 0.391
Mg 0.896 0.818 0.033
Mg 0.396 0.682 0.967
Ac 0.616 0.040 0.612
Mg 0.623 0.324 0.750
Ac 0.122 0.179 0.750
Tl 0.372 0.395 0.891
Ac 0.622 0.321 0.250
Mg 0.604 0.318 0.033
Ac 0.384 0.960 0.388
Tl 0.872 0.105 0.109
Tl 0.628 0.605 0.391
Mg 0.123 0.176 0.250
Ac 0.616 0.040 0.888
Mg 0.896 0.818 0.467
Mg 0.377 0.676 0.250
Tl 0.628 0.605 0.109
Tl 0.372 0.395 0.609
Mg 0.877 0.824 0.750
Ac 0.378 0.679 0.750
Tl 0.128 0.895 0.891
Ac 0.384 0.960 0.112
Mg 0.604 0.318 0.467
Ac 0.884 0.540 0.612
Mg 0.396 0.682 0.533
Ac 0.116 0.460 0.112
Mg 0.104 0.182 0.533
Ac 0.884 0.540 0.888
Mg 0.104 0.182 0.967
Ac 0.878 0.821 0.250
Tl 0.128 0.895 0.609
Ac 0.116 0.460 0.388

Stability, descending: P, Q

--- P ---
Compound: Ac2Mg3Tl
Source: the Alexandria database
Functional: PBE-GGA
Structure: relaxed

Fermi-level density of states   4.72 states/eV/cell
Size of the total moment   0.0 μB/f.u.

Unit cell a=6.280 b=6.280 c=6.389 alpha=90.00 beta=119.47 gamma=119.96
Element x y z (fractional)
Mg 0.000 0.000 0.500
Ac 0.256 0.627 0.883
Tl 0.000 0.000 0.000
Ac 0.744 0.373 0.117
Mg 0.500 0.500 0.500
Mg 0.500 0.000 0.500

--- Q ---
Compound: Ac2Mg3Tl
Source: the Alexandria database
Functional: PBE-GGA
Structure: relaxed

Fermi-level density of states   5.66 states/eV/cell
Size of the total moment   0.0 μB/f.u.

Unit cell a=3.831 b=5.343 c=9.240 alpha=90.00 beta=90.00 gamma=90.00
Element x y z (fractional)
Mg 0.500 0.000 0.831
Mg 0.500 0.500 0.670
Ac 0.000 0.000 0.494
Tl 0.500 0.500 0.337
Ac 0.000 0.500 0.005
Mg 0.500 0.000 0.163

Stability, descending: P, Q

--- P ---
Compound: AcMg3Tl
Source: the Alexandria database
Functional: PBE-GGA
Structure: relaxed

Fermi-level density of states   2.24 states/eV/cell
Size of the total moment   0.0 μB/f.u.

Unit cell a=5.390 b=5.390 c=5.995 alpha=65.82 beta=65.82 gamma=83.87
Element x y z (fractional)
Mg 0.305 0.893 0.302
Mg 0.915 0.915 0.043
Ac 0.599 0.599 0.795
Mg 0.893 0.305 0.302
Tl 0.290 0.290 0.555

--- Q ---
Compound: AcMg3Tl
Source: the Alexandria database
Functional: PBE-GGA
Structure: relaxed

Fermi-level density of states   13.31 states/eV/cell
Size of the total moment   0.0 μB/f.u.

Unit cell a=7.351 b=7.351 c=13.143 alpha=90.00 beta=90.00 gamma=120.00
Element x y z (fractional)
Ac 0.333 0.667 0.250
Ac 0.000 0.000 0.500
Tl 0.333 0.667 0.865
Tl 0.333 0.667 0.635
Mg 0.500 0.000 0.000
Mg 0.866 0.134 0.250
Tl 0.667 0.333 0.365
Mg 0.500 0.000 0.500
Mg 0.500 0.500 0.500
Mg 0.000 0.500 0.000
Ac 0.667 0.333 0.750
Tl 0.667 0.333 0.135
Mg 0.731 0.866 0.750
Ac 0.000 0.000 0.000
Mg 0.000 0.500 0.500
Mg 0.269 0.134 0.250
Mg 0.866 0.731 0.250
Mg 0.134 0.866 0.750
Mg 0.500 0.500 0.000
Mg 0.134 0.269 0.750

Stability, descending: P, Q

--- P ---
Compound: Ac4MgTl3
Source: the Alexandria database
Functional: PBE-GGA
Structure: relaxed

Fermi-level density of states   11.48 states/eV/cell
Size of the total moment   0.2 μB/f.u.

Unit cell a=4.933 b=4.766 c=12.537 alpha=90.00 beta=90.00 gamma=90.00
Element x y z (fractional)
Ac 0.000 0.500 0.858
Tl 0.500 0.000 0.921
Tl 0.000 0.000 0.420
Ac 0.000 0.000 0.145
Tl 0.000 0.500 0.583
Mg 0.500 0.500 0.068
Ac 0.500 0.500 0.363
Ac 0.500 0.000 0.642

--- Q ---
Compound: Ac4MgTl3
Source: the Alexandria database
Functional: PBE-GGA
Structure: relaxed

Fermi-level density of states   9.59 states/eV/cell
Size of the total moment   0.0 μB/f.u.

Unit cell a=5.800 b=5.799 c=9.322 alpha=108.15 beta=108.13 gamma=90.00
Element x y z (fractional)
Mg 0.500 0.000 0.000
Ac 0.625 0.625 0.250
Ac 0.875 0.875 0.750
Ac 0.375 0.375 0.750
Ac 0.125 0.125 0.250
Tl 0.747 0.247 0.493
Tl 0.253 0.753 0.507
Tl 0.000 0.500 0.000

Stability, descending: Q, P

--- P ---
Compound: AcTmMg
Source: the Alexandria database
Functional: PBE-GGA
Structure: relaxed

Fermi-level density of states   3.85 states/eV/cell
Size of the total moment   0.0 μB/f.u.

Unit cell a=3.669 b=5.620 c=5.620 alpha=120.00 beta=90.00 gamma=90.00
Element x y z (fractional)
Ac 0.667 0.333 0.667
Tm 0.167 0.667 0.333
Mg 0.166 0.000 0.000

--- Q ---
Compound: AcTmMg
Source: the Alexandria database
Functional: PBE-GGA
Structure: relaxed

Fermi-level density of states   4.25 states/eV/cell
Size of the total moment   0.0 μB/f.u.

Unit cell a=3.902 b=3.902 c=7.046 alpha=106.08 beta=106.08 gamma=90.00
Element x y z (fractional)
Ac 0.005 0.005 0.009
Tm 0.314 0.314 0.628
Mg 0.681 0.681 0.363

Stability, descending: Q, P

--- P ---
Compound: AcTm2Mg
Source: the Alexandria database
Functional: PBE-GGA
Structure: relaxed

Fermi-level density of states   5.65 states/eV/cell
Size of the total moment   0.0 μB/f.u.

Unit cell a=3.647 b=3.647 c=11.500 alpha=80.88 beta=80.88 gamma=60.00
Element x y z (fractional)
Tm 0.075 0.075 0.775
Ac 0.500 0.500 0.499
Mg 0.666 0.666 0.001
Tm 0.258 0.258 0.225

--- Q ---
Compound: AcTm2Mg
Source: the Alexandria database
Functional: PBE-GGA
Structure: relaxed

Fermi-level density of states   6.62 states/eV/cell
Size of the total moment   0.0 μB/f.u.

Unit cell a=5.200 b=4.980 c=4.980 alpha=90.00 beta=90.00 gamma=90.00
Element x y z (fractional)
Tm 0.000 0.500 0.000
Mg 0.500 0.500 0.500
Ac 0.500 0.000 0.000
Tm 0.000 0.000 0.500

--- R ---
Compound: AcTm2Mg
Source: the Alexandria database
Functional: PBE-GGA
Structure: relaxed

Fermi-level density of states   5.23 states/eV/cell
Size of the total moment   0.0 μB/f.u.

Unit cell a=3.770 b=3.770 c=8.946 alpha=90.00 beta=90.00 gamma=90.00
Element x y z (fractional)
Tm 0.000 0.000 0.208
Tm 0.000 0.000 0.792
Mg 0.500 0.500 0.000
Ac 0.500 0.500 0.500

Stability, descending: R, Q, P

--- P ---
Compound: AcY2Mg
Source: the Alexandria database
Functional: PBE-GGA
Structure: relaxed

Fermi-level density of states   5.50 states/eV/cell
Size of the total moment   0.0 μB/f.u.

Unit cell a=3.813 b=3.813 c=9.033 alpha=90.00 beta=90.00 gamma=90.00
Element x y z (fractional)
Y 0.000 0.000 0.792
Mg 0.500 0.500 0.000
Y 0.000 0.000 0.208
Ac 0.500 0.500 0.500

--- Q ---
Compound: AcY2Mg
Source: the Alexandria database
Functional: PBE-GGA
Structure: relaxed

Fermi-level density of states   5.54 states/eV/cell
Size of the total moment   0.0 μB/f.u.

Unit cell a=3.706 b=3.706 c=11.563 alpha=80.78 beta=80.78 gamma=60.00
Element x y z (fractional)
Mg 0.666 0.666 0.001
Ac 0.500 0.500 0.499
Y 0.259 0.259 0.224
Y 0.075 0.075 0.776

Stability, descending: P, Q

--- P ---
Compound: AcMg4Zn2
Source: the Alexandria database
Functional: PBE-GGA
Structure: relaxed

Fermi-level density of states   8.74 states/eV/cell
Size of the total moment   0.0 μB/f.u.

Unit cell a=4.593 b=8.499 c=8.499 alpha=90.00 beta=90.00 gamma=90.00
Element x y z (fractional)
Mg 0.500 0.411 0.840
Mg 0.500 0.589 0.160
Mg 0.500 0.160 0.589
Mg 0.500 0.840 0.411
Zn 0.000 0.783 0.217
Ac 0.500 0.000 0.000
Zn 0.000 0.217 0.783
Mg 0.000 0.089 0.340
Mg 0.000 0.911 0.660
Mg 0.000 0.340 0.089
Ac 0.000 0.500 0.500
Zn 0.500 0.717 0.717
Mg 0.000 0.660 0.911
Zn 0.500 0.283 0.283

--- Q ---
Compound: AcMg4Zn2
Source: the Alexandria database
Functional: PBE-GGA
Structure: relaxed

Fermi-level density of states   4.35 states/eV/cell
Size of the total moment   0.0 μB/f.u.

Unit cell a=4.631 b=4.417 c=8.509 alpha=105.04 beta=90.00 gamma=90.00
Element x y z (fractional)
Zn 0.500 0.578 0.155
Mg 0.000 0.680 0.360
Ac 0.000 0.000 0.000
Mg 0.500 0.819 0.638
Zn 0.500 0.422 0.845
Mg 0.000 0.320 0.640
Mg 0.500 0.181 0.362

Stability, descending: Q, P